(1)
A plane-wave DFT calculation with PBE was carried out for Pa2Ga8W after structural relaxation.

Lattice parameters (Å, degrees): 4.414 4.414 11.127 90.00 90.00 90.00
Sites, in units of the cell vectors:
Pa: 0.000 0.000 0.192
Pa: 0.000 0.000 0.808
Ga: 0.000 0.500 0.000
Ga: 0.000 0.500 0.376
Ga: 0.000 0.500 0.624
Ga: 0.500 0.000 0.000
Ga: 0.500 0.000 0.376
Ga: 0.500 0.000 0.624
Ga: 0.500 0.500 0.186
Ga: 0.500 0.500 0.814
W: 0.000 0.000 0.500

Summary:
Magnetic moment, μB/f.u.: 0.00
ΔH_f (0 K), eV/f.u.: -2.26
V, Å³/cell: 217
Electronic total energy, eV per formula unit: -58.42



(2)
A plane-wave DFT calculation with PBE was carried out for Ac3Zn2In4 after structural relaxation.

Lattice parameters (Å, degrees): 6.454 6.454 9.459 105.57 105.57 44.94
Sites, in units of the cell vectors:
Ac: 0.000 0.000 0.000
Ac: 0.354 0.354 0.322
Ac: 0.646 0.646 0.678
Zn: 0.343 0.343 0.675
Zn: 0.657 0.657 0.325
In: 0.086 0.086 0.407
In: 0.287 0.287 0.938
In: 0.713 0.713 0.062
In: 0.914 0.914 0.593

Summary:
Magnetic moment, μB/f.u.: 0.00
ΔH_f (0 K), eV/f.u.: -3.78
V, Å³/cell: 266
Electronic total energy, eV per formula unit: -29.61



(3)
A plane-wave DFT calculation with PBE was carried out for LiSmYAg after structural relaxation.

Lattice parameters (Å, degrees): 5.229 5.229 5.229 60.00 60.00 60.00
Sites, in units of the cell vectors:
Li: 0.000 0.000 0.000
Sm: 0.750 0.750 0.750
Y: 0.250 0.250 0.250
Ag: 0.500 0.500 0.500

Summary:
Magnetic moment, μB/f.u.: 0.00
ΔH_f (0 K), eV/f.u.: -0.36
V, Å³/cell: 101
Electronic total energy, eV per formula unit: -16.30



(4)
A plane-wave DFT calculation with PBE was carried out for LuMo6 after structural relaxation.

Lattice parameters (Å, degrees): 5.994 5.994 5.994 109.47 109.47 109.47
Sites, in units of the cell vectors:
Lu: 0.000 0.000 0.000
Mo: 0.250 0.500 0.750
Mo: 0.250 0.750 0.500
Mo: 0.500 0.250 0.750
Mo: 0.500 0.750 0.250
Mo: 0.750 0.250 0.500
Mo: 0.750 0.500 0.250

Summary:
Magnetic moment, μB/f.u.: 0.00
ΔH_f (0 K), eV/f.u.: 10.99
V, Å³/cell: 166
Electronic total energy, eV per formula unit: -58.52



> Among the records above, which one has the highest electronic total energy?

LiSmYAg